An optimized crystal structure of LaScSe, computed with PBE.

Structure (extended XYZ):
```
3
Lattice="0.000 3.446 3.446 3.446 0.000 3.446 3.446 3.446 0.000" Properties=species:S:1:pos:R:3 pbc="T T T"
La 0.000 0.000 0.000
Sc 3.446 3.446 3.446
Se 1.723 1.723 1.723
```

Calculated values
The value obtained for the energy above the most stable polymorph in this dataset is 263 meV/atom. Its total magnetic moment is 1.44 μB/f.u. Its formation energy without anion corrections is -217 kJ/mol of formula units.


An optimized crystal structure of PmPrNd4Sm2, computed with PBE.

Structure (extended XYZ):
```
8
Lattice="6.346 0.000 0.000 0.000 3.675 0.000 -2.178 0.000 11.996" Properties=species:S:1:pos:R:3 pbc="T T T"
Pm 0.000 0.000 0.000
Pr -1.089 1.837 5.998
Nd 1.043 1.837 2.992
Nd -0.042 0.000 9.014
Nd 4.210 0.000 2.983
Nd 3.125 1.837 9.004
Sm 2.084 0.000 5.998
Sm 3.173 1.837 0.000
```

Calculated values
Its total magnetic moment is 0.00 μB/f.u. The calculation puts the formation energy at 0.015 eV per atom.


An optimized crystal structure of Pr2HoPuP4, computed with PBE.

Structure (extended XYZ):
```
8
Lattice="7.075 0.000 0.000 0.000 4.101 0.000 -2.363 0.000 6.686" Properties=species:S:1:pos:R:3 pbc="T T T"
Pr 0.000 0.000 0.000
Pr 3.538 2.050 0.000
Ho -1.181 2.050 3.343
Pu 2.356 0.000 3.343
P 0.010 0.000 4.916
P 1.192 2.050 1.783
P 3.520 2.050 4.903
P 4.702 0.000 1.771
```

Calculated values
Its total magnetic moment is 4.87 μB/f.u. The calculation puts the formation energy at -1.431 eV per atom.


An optimized crystal structure of La3Er2In, computed with PBE.

Structure (extended XYZ):
```
12
Lattice="6.821 0.000 0.000 1.841 6.837 0.000 2.669 2.457 8.379" Properties=species:S:1:pos:R:3 pbc="T T T"
La 1.349 1.633 1.312
La 4.434 6.297 4.142
La 6.592 8.588 7.001
La 4.739 0.705 1.378
La 6.897 2.997 4.237
La 9.982 7.660 7.067
Er 2.069 4.906 1.841
Er 5.947 5.234 7.122
Er 5.384 4.059 1.258
Er 9.262 4.388 6.538
In 3.506 2.825 3.840
In 7.825 6.469 4.540
```

Calculated values
Its total magnetic moment is 0.00 μB/f.u. The calculation puts the formation energy at -0.153 eV per atom.